1.
! PBE NdSm4Mg3, optimized geometry; values from VASP
&SYSTEM
  ibrav = 0, nat = 8, ntyp = 3
/
ATOMIC_SPECIES
Nd 144.24 Nd.upf
Sm 150.36 Sm.upf
Mg 24.30 Mg.upf
CELL_PARAMETERS angstrom
3.811 0.000 0.000
0.000 5.591 0.000
0.000 0.000 11.299
ATOMIC_POSITIONS crystal
Nd 0.000 0.000 0.000
Sm 0.500 0.000 0.265
Sm 0.500 0.000 0.735
Sm 0.500 0.500 0.000
Sm 0.500 0.500 0.500
Mg 0.000 0.000 0.500
Mg 0.000 0.500 0.252
Mg 0.000 0.500 0.748
! Energy: -0.1315 hartree per atom
! Magnetic moment: 0.00 Bohr magnetons per cell

***

2.
! PBE AcLa6Pr3, optimized geometry; values from VASP
&SYSTEM
  ibrav = 0, nat = 20, ntyp = 3
/
ATOMIC_SPECIES
Ac 227.00 Ac.upf
La 138.91 La.upf
Pr 140.91 Pr.upf
CELL_PARAMETERS angstrom
6.929 -8.117 0.000
6.929 8.117 0.000
0.000 0.000 6.760
ATOMIC_POSITIONS crystal
Ac 0.159 0.841 0.500
Ac 0.841 0.159 0.000
La 0.044 0.452 0.330
La 0.064 0.936 0.954
La 0.256 0.744 0.037
La 0.302 0.457 0.976
La 0.452 0.044 0.830
La 0.457 0.302 0.476
La 0.543 0.698 0.976
La 0.548 0.956 0.330
La 0.698 0.543 0.476
La 0.744 0.256 0.537
La 0.936 0.064 0.454
La 0.956 0.548 0.830
Pr 0.158 0.233 0.688
Pr 0.233 0.158 0.188
Pr 0.384 0.616 0.484
Pr 0.616 0.384 0.984
Pr 0.767 0.842 0.688
Pr 0.842 0.767 0.188
! Energy: -0.1705 hartree per atom
! Offset from the most stable computed form: 0.00 eV/f.u.
! Magnetic moment: 0.00 Bohr magnetons per cell

***

3.
! PBE Sm2HoRh, optimized geometry; values from VASP
&SYSTEM
  ibrav = 0, nat = 16, ntyp = 3
/
ATOMIC_SPECIES
Sm 150.36 Sm.upf
Ho 164.93 Ho.upf
Rh 102.91 Rh.upf
CELL_PARAMETERS angstrom
6.676 0.000 0.000
0.000 6.375 0.000
0.000 0.000 11.421
ATOMIC_POSITIONS crystal
Sm 0.090 0.245 0.087
Sm 0.090 0.255 0.413
Sm 0.410 0.745 0.413
Sm 0.410 0.755 0.087
Sm 0.590 0.245 0.913
Sm 0.590 0.255 0.587
Sm 0.910 0.745 0.587
Sm 0.910 0.755 0.913
Ho 0.069 0.250 0.750
Ho 0.431 0.750 0.750
Ho 0.569 0.250 0.250
Ho 0.931 0.750 0.250
Rh 0.250 0.000 0.589
Rh 0.250 0.500 0.911
Rh 0.750 0.000 0.411
Rh 0.750 0.500 0.089
! Energy: -0.2102 hartree per atom
! Offset from the most stable computed form: 0.41 eV/f.u.
! Magnetic moment: 0.00 Bohr magnetons per cell

***

4.
! PBE Pr2Tm8Cd, optimized geometry; values from VASP
&SYSTEM
  ibrav = 0, nat = 11, ntyp = 3
/
ATOMIC_SPECIES
Pr 140.91 Pr.upf
Tm 168.93 Tm.upf
Cd 112.41 Cd.upf
CELL_PARAMETERS angstrom
9.320 -2.685 0.000
9.320 2.685 0.000
-0.483 0.000 6.743
ATOMIC_POSITIONS crystal
Pr 0.222 0.222 0.169
Pr 0.778 0.778 0.831
Tm 0.035 0.035 0.250
Tm 0.157 0.157 0.672
Tm 0.344 0.344 0.593
Tm 0.411 0.411 0.081
Tm 0.589 0.589 0.919
Tm 0.656 0.656 0.407
Tm 0.843 0.843 0.328
Tm 0.965 0.965 0.750
Cd 0.500 0.500 0.500
! Energy: -0.1542 hartree per atom
! Magnetic moment: 0.00 Bohr magnetons per cell

***

5.
! PBE Nd2AgPt, optimized geometry; values from VASP
&SYSTEM
  ibrav = 0, nat = 4, ntyp = 3
/
ATOMIC_SPECIES
Nd 144.24 Nd.upf
Ag 107.87 Ag.upf
Pt 195.08 Pt.upf
CELL_PARAMETERS angstrom
2.111 1.219 7.330
-2.111 1.219 7.330
0.000 -2.438 7.330
ATOMIC_POSITIONS crystal
Nd 0.241 0.241 0.241
Nd 0.759 0.759 0.759
Ag 0.000 0.000 0.000
Pt 0.500 0.500 0.500
! Energy: -0.1915 hartree per atom
! Magnetic moment: 0.00 Bohr magnetons per cell

***

6.
! PBE NdPaMnN4, optimized geometry; values from VASP
&SYSTEM
  ibrav = 0, nat = 7, ntyp = 4
/
ATOMIC_SPECIES
Nd 144.24 Nd.upf
Pa 231.04 Pa.upf
Mn 54.94 Mn.upf
N 14.01 N.upf
CELL_PARAMETERS angstrom
-1.855 1.855 6.248
1.855 -1.855 6.248
1.855 1.855 -6.248
ATOMIC_POSITIONS crystal
Nd 0.000 0.000 0.000
Pa 0.716 0.716 0.000
Mn 0.347 0.347 0.000
N 0.188 0.188 0.000
N 0.347 0.847 0.500
N 0.543 0.543 0.000
N 0.847 0.347 0.500
! Energy: -0.3375 hartree per atom
! Magnetic moment: 0.48 Bohr magnetons per cell

***

The highest magnetic moment belongs to which entry?
NdPaMnN4

***

The highest energy belongs to which entry?
NdSm4Mg3

***

The highest energy belongs to which entry?
NdSm4Mg3